Record 1
# Ca2LaFe (PBE, optimized geometry)
# total magnetic moment: 0.00 μB/atom
# total DFT energy (no corrections): -4.079 eV/atom
# energy above the lowest structure with this stoichiometry: 0.0491 eV per atom
# DOS at the Fermi energy: 3.87 states/eV per cell
# formation energy from the elements: 0.2691 eV/atom
data_Ca2LaFe
_space_group_name_H-M_alt 'P 1 m 1'
_space_group_IT_number 6
_space_group_name_Hall 'P -2y'
_cell_length_a 3.482
_cell_length_b 3.585
_cell_length_c 9.690
_cell_angle_alpha 90.00
_cell_angle_beta 96.03
_cell_angle_gamma 90.00
loop_
_atom_site_label
_atom_site_fract_x
_atom_site_fract_y
_atom_site_fract_z
_atom_site_occupancy
Ca1 0.000 0.000 0.000 1
Ca2 0.410 0.500 0.671 1
La1 0.808 0.000 0.341 1
Fe1 0.512 0.500 0.190 1


Record 2
# Nd2TmAu4 (PBE, optimized geometry)
# total magnetic moment: 0.00 μB/atom
# total DFT energy (no corrections): -4.213 eV/atom
# energy above the lowest structure with this stoichiometry: 0.3355 eV per atom
# DOS at the Fermi energy: 11.37 states/eV per cell
# formation energy from the elements: -0.3394 eV/atom
data_Nd2TmAu4
_space_group_name_H-M_alt 'I 4/m m m'
_space_group_IT_number 139
_space_group_name_Hall '-I 4 2'
_cell_length_a 5.279
_cell_length_b 5.279
_cell_length_c 15.143
_cell_angle_alpha 90.00
_cell_angle_beta 90.00
_cell_angle_gamma 90.00
loop_
_atom_site_label
_atom_site_fract_x
_atom_site_fract_y
_atom_site_fract_z
_atom_site_occupancy
Nd1 0.000 0.000 0.122 1
Tm1 0.000 0.000 0.500 1
Au1 0.000 0.000 0.317 1
Au2 0.000 0.500 0.000 1


Record 3
# Np3Ir (PBE, optimized geometry)
# total magnetic moment: 0.54 μB/atom
# total DFT energy (no corrections): -11.945 eV/atom
# formation energy from the elements: -0.0240 eV/atom
data_Np3Ir
_space_group_name_H-M_alt 'F m -3 m'
_space_group_IT_number 225
_space_group_name_Hall '-F 4 2 3'
_cell_length_a 6.620
_cell_length_b 6.620
_cell_length_c 6.620
_cell_angle_alpha 90.00
_cell_angle_beta 90.00
_cell_angle_gamma 90.00
loop_
_atom_site_label
_atom_site_fract_x
_atom_site_fract_y
_atom_site_fract_z
_atom_site_occupancy
Np1 0.000 0.000 0.000 1
Np2 0.250 0.250 0.250 1
Ir1 0.000 0.000 0.500 1


Record 4
# Nd3Tm2Mg3 (PBE, optimized geometry)
# total magnetic moment: 0.00 μB/atom
# total DFT energy (no corrections): -3.571 eV/atom
# DOS at the Fermi energy: 20.22 states/eV per cell
# formation energy from the elements: -0.0671 eV/atom
data_Nd3Tm2Mg3
_space_group_name_H-M_alt 'I m m m'
_space_group_IT_number 71
_space_group_name_Hall '-I 2 2'
_cell_length_a 3.778
_cell_length_b 5.543
_cell_length_c 22.597
_cell_angle_alpha 90.00
_cell_angle_beta 90.00
_cell_angle_gamma 90.00
loop_
_atom_site_label
_atom_site_fract_x
_atom_site_fract_y
_atom_site_fract_z
_atom_site_occupancy
Nd1 0.000 0.000 0.000 1
Nd2 0.000 0.500 0.127 1
Tm1 0.000 0.000 0.236 1
Mg1 0.000 0.000 0.500 1
Mg2 0.000 0.500 0.380 1


Question: What is the formation energy from the elements in the second record?
Answer: -0.3394 eV/atom


Please write out number 2 again, unchanged.
# Nd2TmAu4 (PBE, optimized geometry)
# total magnetic moment: 0.00 μB/atom
# total DFT energy (no corrections): -4.213 eV/atom
# energy above the lowest structure with this stoichiometry: 0.3355 eV per atom
# DOS at the Fermi energy: 11.37 states/eV per cell
# formation energy from the elements: -0.3394 eV/atom
data_Nd2TmAu4
_space_group_name_H-M_alt 'I 4/m m m'
_space_group_IT_number 139
_space_group_name_Hall '-I 4 2'
_cell_length_a 5.279
_cell_length_b 5.279
_cell_length_c 15.143
_cell_angle_alpha 90.00
_cell_angle_beta 90.00
_cell_angle_gamma 90.00
loop_
_atom_site_label
_atom_site_fract_x
_atom_site_fract_y
_atom_site_fract_z
_atom_site_occupancy
Nd1 0.000 0.000 0.122 1
Tm1 0.000 0.000 0.500 1
Au1 0.000 0.000 0.317 1
Au2 0.000 0.500 0.000 1


Question: What is the formula in the third record?
Answer: Np3Ir